No. 1
This record from the Alexandria database describes a relaxed Ho2ZnAs crystal. The functional is GGA-PBE.

Lattice parameters (Å, degrees): 9.6860 9.6860 9.6860 22.97 22.97 22.97
Last column: nearest neighbours and their distance in Å.
Fractional coordinates of all 4 atoms:
1 Ho 0.1071 0.1071 0.1071  3 As 2.79, 1 Zn 3.03
2 Ho 0.8929 0.8929 0.8929  3 As 2.79, 1 Zn 3.03
3 Zn 0.0000 0.0000 0.0000  2 Ho 3.03
4 As 0.5000 0.5000 0.5000  6 Ho 2.79

Properties
Energy above the lowest structure with this stoichiometry   0.338 eV/atom
Space-group type   R-3m, No. 166
Formation energy from the elements   -0.34 eV/atom

No. 2
This record from the Alexandria database describes a relaxed GaSiW crystal. The functional is GGA-PBE.

Lattice parameters (Å, degrees): 4.3911 4.3911 2.7833 90.00 90.00 120.00
Last column: nearest neighbours and their distance in Å.
Fractional coordinates of all 3 atoms:
1 Ga 0.0000 0.0000 0.0000  2 Ga 2.78, 6 Si 2.89-2.90, 6 W 2.89
2 Si 0.6667 0.3333 0.4950  3 W 2.54, 2 Si 2.78
3 W 0.3333 0.6667 0.5003  3 Si 2.54, 2 W 2.78

Properties
ΔE_f (raw)   253 meV/atom
Energy above the lowest structure with this stoichiometry   0.244 eV/atom
Space-group type   P3m1, No. 156

No. 3
This record from the Alexandria database describes a relaxed KTaBeN3 crystal. The functional is GGA-PBE.

Lattice parameters (Å, degrees): 7.5298 3.1501 7.5565 90.00 112.41 90.00
Last column: nearest neighbours and their distance in Å.
Fractional coordinates of all 12 atoms:
1 K 0.2116 0.2500 0.2447  7 N 2.86-3.00, 2 K 3.15
2 K 0.7884 0.7500 0.7553  7 N 2.86-3.00, 2 K 3.15
3 Ta 0.3285 0.7500 0.8404  6 N 2.07-2.14
4 Ta 0.6715 0.2500 0.1596  6 N 2.07-2.14
5 Be 0.0758 0.2500 0.5989  4 N 1.70-1.78
6 Be 0.9242 0.7500 0.4011  4 N 1.70-1.78
7 N 0.1519 0.2500 0.8474  1 Be 1.74
8 N 0.1596 0.7500 0.5513  3 Be 1.70-1.78
9 N 0.4766 0.7500 0.1443  3 Ta 2.13-2.14
10 N 0.5234 0.2500 0.8557  3 Ta 2.13-2.14
11 N 0.8404 0.2500 0.4487  3 Be 1.70-1.78
12 N 0.8481 0.7500 0.1526  1 Be 1.74

Properties
ΔE_f (raw)   -629 meV/atom
Space-group type   P2_1/m, No. 11

No. 4
This record from the Alexandria database describes a relaxed CsNaMg4 crystal. The functional is GGA-PBE.

Lattice parameters (Å, degrees): 6.5720 6.5720 6.5720 60.00 60.00 60.00
Last column: nearest neighbours and their distance in Å.
Fractional coordinates of all 6 atoms:
1 Cs 0.0000 0.0000 0.0000  12 Mg 3.86, 4 Na 4.02
2 Na 0.7500 0.7500 0.7500  12 Mg 3.85, 4 Cs 4.02
3 Mg 0.3776 0.3776 0.3776  6 Mg 3.22-3.35
4 Mg 0.3776 0.3776 0.8672  6 Mg 3.22-3.35
5 Mg 0.3776 0.8672 0.3776  6 Mg 3.22-3.35
6 Mg 0.8672 0.3776 0.3776  6 Mg 3.22-3.35

Properties
Space-group type   F-43m, No. 216
Formation energy from the elements   0.16 eV/atom

No. 5
This record from the Alexandria database describes a relaxed NaIn9Hg2 crystal. The functional is GGA-PBE.

Lattice parameters (Å, degrees): 4.7220 4.7220 14.1874 90.00 90.00 90.00
Last column: nearest neighbours and their distance in Å.
Fractional coordinates of all 12 atoms:
1 Na 0.0000 0.0000 0.0000  12 In 3.34
2 In 0.0000 0.5000 0.1666  8 In 3.32-3.34, 2 Hg 3.34, 2 Na 3.34
3 In 0.0000 0.5000 0.5000  8 In 3.34-3.36, 4 Hg 3.35
4 In 0.0000 0.5000 0.8334  8 In 3.32-3.34, 2 Hg 3.34, 2 Na 3.34
5 In 0.5000 0.0000 0.1666  8 In 3.32-3.34, 2 Hg 3.34, 2 Na 3.34
6 In 0.5000 0.0000 0.5000  8 In 3.34-3.36, 4 Hg 3.35
7 In 0.5000 0.0000 0.8334  8 In 3.32-3.34, 2 Hg 3.34, 2 Na 3.34
8 In 0.5000 0.5000 0.0000  4 Na 3.34, 8 In 3.34
9 In 0.5000 0.5000 0.3312  8 In 3.32-3.36, 4 Hg 3.34
10 In 0.5000 0.5000 0.6688  8 In 3.32-3.36, 4 Hg 3.34
11 Hg 0.0000 0.0000 0.3329  12 In 3.34-3.35
12 Hg 0.0000 0.0000 0.6671  12 In 3.34-3.35

Properties
Space-group type   P4/mmm, No. 123
Formation energy from the elements   -0.02 eV/atom

| no. | M_tot (Bohr magnetons per cell) |
| --- | --- |
| 1 | 0.00 |
| 2 | 0.00 |
| 3 | 0.58 |
| 4 | 0.00 |
| 5 | 0.00 |